Entry 1:
CeZrSc6 after structural relaxation. Source: the Alexandria database, functional GGA-PBE.

The structure in POSCAR format:
```
CeZrSc6
1.0
4.630 0.000 0.000
0.000 4.609 4.620
0.000 -4.609 4.620
Ce Zr Sc
1 1 6
Direct
0.000 0.000 0.000
0.500 0.753 0.753
0.000 0.505 0.995
0.000 0.506 0.506
0.000 0.995 0.505
0.500 0.249 0.249
0.500 0.252 0.750
0.500 0.750 0.252
```

Calculated values
electronic total energy: -52.111 eV for the cell shown
DOS(E_F): 1.85 states/eV per atom
space-group type: No. 38
ΔE_f: 45 meV per atom

---

Entry 2:
Ce2Zr2Sc after structural relaxation. Source: the Alexandria database, functional GGA-PBE.

The structure in POSCAR format:
```
Ce2Zr2Sc
1.0
3.234 0.000 0.000
-1.617 2.800 0.000
0.000 0.000 13.614
Ce Zr Sc
2 2 1
Direct
0.333 0.667 0.396
0.667 0.333 0.604
0.333 0.667 0.807
0.667 0.333 0.193
0.000 0.000 0.000
```

Calculated values
electronic total energy: -34.997 eV for the cell shown
DOS(E_F): 2.06 states/eV per atom
space-group type: No. 164
ΔE_f: 60 meV per atom

---

Entry 3:
CeZrSc after structural relaxation. Source: the Alexandria database, functional GGA-PBE.

The structure in POSCAR format:
```
CeZrSc
1.0
2.834 -1.633 0.000
2.834 1.633 0.000
-0.004 0.000 8.083
Ce Zr Sc
1 1 1
Direct
0.000 0.000 0.000
0.335 0.335 0.666
0.668 0.668 0.349
```

Calculated values
polymorph energy (0 for the lowest one): 23 meV/atom
electronic total energy: -20.657 eV for the cell shown
DOS(E_F): 1.79 states/eV per atom
space-group type: No. 8
ΔE_f: 52 meV per atom

---

Entry 4:
CeZr3Sc3 after structural relaxation. Source: the Alexandria database, functional GGA-PBE.

The structure in POSCAR format:
```
CeZr3Sc3
1.0
8.667 0.000 0.000
-4.333 7.506 0.000
0.000 0.000 5.263
Ce Zr Sc
2 6 6
Direct
0.333 0.667 0.250
0.667 0.333 0.750
0.042 0.812 0.250
0.188 0.230 0.250
0.230 0.042 0.750
0.770 0.958 0.250
0.812 0.770 0.750
0.958 0.188 0.750
0.090 0.624 0.750
0.376 0.465 0.750
0.465 0.090 0.250
0.535 0.910 0.750
0.624 0.535 0.250
0.910 0.376 0.250
```

Calculated values
electronic total energy: -100.745 eV for the cell shown
DOS(E_F): 1.54 states/eV per atom
space-group type: No. 176
ΔE_f: 29 meV per atom

---

Entry 5:
Ce2ZrSc6 after structural relaxation. Source: the Alexandria database, functional GGA-PBE.

The structure in POSCAR format:
```
Ce2ZrSc6
1.0
7.265 -5.420 0.000
7.265 5.420 0.000
-0.782 0.000 5.836
Ce Zr Sc
4 2 12
Direct
0.152 0.232 0.399
0.232 0.152 0.899
0.768 0.848 0.101
0.848 0.768 0.601
0.391 0.609 0.250
0.609 0.391 0.750
0.080 0.556 0.224
0.130 0.832 0.000
0.168 0.870 0.500
0.266 0.499 0.737
0.444 0.920 0.276
0.499 0.266 0.237
0.501 0.734 0.763
0.556 0.080 0.724
0.734 0.501 0.263
0.832 0.130 0.500
0.870 0.168 0.000
0.920 0.444 0.776
```

Calculated values
electronic total energy: -113.815 eV for the cell shown
DOS(E_F): 2.11 states/eV per atom
space-group type: No. 15
ΔE_f: 166 meV per atom

---

Entry 6:
CeZr2Sc after structural relaxation. Source: the Alexandria database, functional GGA-PBE.

The structure in POSCAR format:
```
CeZr2Sc
1.0
4.638 0.000 0.000
0.000 4.638 0.000
0.000 0.000 4.557
Ce Zr Sc
1 2 1
Direct
0.000 0.000 0.000
0.000 0.500 0.500
0.500 0.000 0.500
0.500 0.500 0.000
```

Calculated values
polymorph energy (0 for the lowest one): 8 meV/atom
electronic total energy: -29.068 eV for the cell shown
DOS(E_F): 1.42 states/eV per atom
space-group type: No. 123
ΔE_f: 73 meV per atom

---

Entry 7:
CeZr2Sc8 after structural relaxation. Source: the Alexandria database, functional GGA-PBE.

The structure in POSCAR format:
```
CeZr2Sc8
1.0
5.874 0.000 0.000
2.530 5.406 0.000
0.351 0.011 8.660
Ce Zr Sc
1 2 8
Direct
0.000 0.000 0.000
0.124 0.622 0.728
0.876 0.378 0.272
0.103 0.125 0.614
0.329 0.373 0.064
0.375 0.370 0.415
0.401 0.882 0.267
0.599 0.118 0.733
0.625 0.630 0.585
0.671 0.627 0.936
0.897 0.875 0.386
```

Calculated values
electronic total energy: -72.719 eV for the cell shown
DOS(E_F): 1.68 states/eV per atom
space-group type: No. 2
ΔE_f: 88 meV per atom

---

Entry 8:
CeZrSc2 after structural relaxation. Source: the Alexandria database, functional GGA-PBE.

The structure in POSCAR format:
```
CeZrSc2
1.0
4.561 0.000 0.000
0.000 4.561 0.000
0.000 0.000 4.770
Ce Zr Sc
1 1 2
Direct
0.000 0.000 0.000
0.500 0.500 0.000
0.000 0.500 0.500
0.500 0.000 0.500
```

Calculated values
polymorph energy (0 for the lowest one): 0 meV/atom
electronic total energy: -26.957 eV for the cell shown
DOS(E_F): 0.88 states/eV per atom
space-group type: No. 123
ΔE_f: 47 meV per atom

---

Entry 9:
CeZrSc2 after structural relaxation. Source: the Alexandria database, functional GGA-PBE.

The structure in POSCAR format:
```
CeZrSc2
1.0
10.271 0.000 0.000
0.000 3.222 0.000
0.000 0.000 12.176
Ce Zr Sc
4 4 8
Direct
0.247 0.250 0.241
0.253 0.750 0.741
0.747 0.250 0.259
0.753 0.750 0.759
0.012 0.250 0.884
0.488 0.750 0.384
0.512 0.250 0.616
0.988 0.750 0.116
0.009 0.750 0.382
0.245 0.750 0.994
0.255 0.250 0.494
0.491 0.250 0.882
0.509 0.750 0.118
0.745 0.750 0.506
0.755 0.250 0.006
0.991 0.250 0.618
```

Calculated values
polymorph energy (0 for the lowest one): 13 meV/atom
electronic total energy: -107.626 eV for the cell shown
DOS(E_F): 1.86 states/eV per atom
space-group type: No. 62
ΔE_f: 60 meV per atom

---

Entry 10:
CeZr6Sc3 after structural relaxation. Source: the Alexandria database, functional GGA-PBE.

The structure in POSCAR format:
```
CeZr6Sc3
1.0
10.247 0.000 0.000
0.000 3.192 0.000
-5.067 0.000 14.593
Ce Zr Sc
2 12 6
Direct
0.149 0.250 0.299
0.851 0.750 0.701
0.037 0.750 0.097
0.146 0.750 0.800
0.255 0.750 0.496
0.343 0.250 0.191
0.437 0.250 0.894
0.470 0.750 0.400
0.530 0.250 0.600
0.563 0.750 0.106
0.657 0.750 0.809
0.745 0.250 0.504
0.854 0.250 0.200
0.963 0.250 0.903
0.067 0.250 0.598
0.255 0.750 0.000
0.351 0.750 0.703
0.649 0.250 0.297
0.745 0.250 0.000
0.933 0.750 0.402
```

Calculated values
electronic total energy: -152.019 eV for the cell shown
DOS(E_F): 1.31 states/eV per atom
space-group type: No. 11
ΔE_f: 21 meV per atom

---

Entry 11:
CeZrSc2 after structural relaxation. Source: the Alexandria database, functional GGA-PBE.

The structure in POSCAR format:
```
CeZrSc2
1.0
3.835 0.000 0.000
0.000 3.835 0.000
0.000 0.000 6.831
Ce Zr Sc
1 1 2
Direct
0.000 0.000 0.000
0.000 0.000 0.500
0.500 0.500 0.266
0.500 0.500 0.734
```

Calculated values
polymorph energy (0 for the lowest one): 84 meV/atom
electronic total energy: -26.621 eV for the cell shown
DOS(E_F): 1.89 states/eV per atom
space-group type: No. 123
ΔE_f: 131 meV per atom

---

Entry 12:
CeZr2Sc5 after structural relaxation. Source: the Alexandria database, functional GGA-PBE.

The structure in POSCAR format:
```
CeZr2Sc5
1.0
8.604 -2.757 0.000
8.604 2.757 0.000
-2.125 0.000 8.251
Ce Zr Sc
2 4 10
Direct
0.000 0.500 0.000
0.500 0.000 0.500
0.062 0.691 0.376
0.309 0.938 0.124
0.691 0.062 0.876
0.938 0.309 0.624
0.114 0.524 0.689
0.170 0.830 0.750
0.263 0.617 0.065
0.383 0.737 0.435
0.476 0.886 0.811
0.524 0.114 0.189
0.617 0.263 0.565
0.737 0.383 0.935
0.830 0.170 0.250
0.886 0.476 0.311
```

Calculated values
polymorph energy (0 for the lowest one): 0 meV/atom
electronic total energy: -108.323 eV for the cell shown
DOS(E_F): 1.63 states/eV per atom
space-group type: No. 15
ΔE_f: 66 meV per atom